The following is a SCAN calculation of MgTi3Nb at its PBEsol-relaxed geometry, from Alexandria via LeMat-Bulk.

Output
- ΔH_f (0 K): 82.6 kJ per mole of atoms
- E: -16.3828 eV per atom

abc: 4.767 4.767 4.767
angles: 90.00 90.00 90.00
Atoms (fractional coordinates):
Mg (0.000, 0.000, 0.000)
Ti (0.000, 0.500, 0.500)
Ti (0.500, 0.000, 0.500)
Ti (0.500, 0.500, 0.000)
Nb (0.500, 0.500, 0.500)